## P
Computed, not measured: a relaxed structure of TaCdGa3 at the PBE level of DFT.

Its density of states at the Fermi level is 6.75 states/eV/cell. As for the total moment: 0.00 μB/f.u.

a = 4.921 Å, b = 4.921 Å, c = 4.921 Å
α = 90.00°, β = 90.00°, γ = 90.00°
Element x y z (fractional)
Cd1 0.000 0.000 0.000
Ga1 0.000 0.500 0.000
Ga2 0.000 0.000 0.500
Ga3 0.500 0.000 0.000
Ta1 0.500 0.500 0.500

***

## Q
Computed, not measured: a relaxed structure of TaCdGa3 at the PBE level of DFT.

Its density of states at the Fermi level is 4.41 states/eV/cell. As for the total moment: 0.00 μB/f.u.

a = 5.087 Å, b = 5.087 Å, c = 5.087 Å
α = 90.00°, β = 90.00°, γ = 90.00°
Element x y z (fractional)
Cd1 0.500 0.500 0.500
Ga1 0.000 0.500 0.000
Ga2 0.000 0.000 0.500
Ga3 0.500 0.000 0.000
Ta1 0.000 0.000 0.000

***

Each structure's energy above the most stable one, in meV/atom: P 716; Q 0.

***

## P
Computed, not measured: a relaxed structure of Tb3CdGa at the PBE level of DFT.

Its density of states at the Fermi level is 12.04 states/eV/cell. As for the total moment: 0.00 μB/f.u.

a = 5.122 Å, b = 5.121 Å, c = 10.477 Å
α = 90.00°, β = 75.85°, γ = 90.00°
Element x y z (fractional)
Tb1 0.760 0.250 0.128
Tb2 0.389 0.250 0.871
Tb3 0.574 0.250 0.500
Tb4 0.260 0.750 0.129
Tb5 0.888 0.750 0.872
Tb6 0.074 0.750 0.500
Cd1 0.667 0.750 0.314
Cd2 0.981 0.250 0.686
Ga1 0.483 0.750 0.683
Ga2 0.166 0.250 0.317

***

## Q
Computed, not measured: a relaxed structure of Tb3CdGa at the PBE level of DFT.

Its density of states at the Fermi level is 16.72 states/eV/cell. As for the total moment: 0.00 μB/f.u.

a = 6.497 Å, b = 9.897 Å, c = 9.897 Å
α = 58.30°, β = 94.64°, γ = 94.64°
Element x y z (fractional)
Tb1 0.503 0.208 0.122
Tb2 0.003 0.122 0.208
Tb3 0.997 0.878 0.792
Tb4 0.497 0.792 0.878
Tb5 0.919 0.242 0.450
Tb6 0.419 0.450 0.242
Tb7 0.581 0.550 0.758
Tb8 0.081 0.758 0.550
Tb9 0.979 0.678 0.191
Tb10 0.479 0.191 0.678
Tb11 0.521 0.809 0.322
Tb12 0.021 0.322 0.809
Cd1 0.250 0.502 0.498
Cd2 0.250 0.999 0.001
Cd3 0.750 0.498 0.502
Cd4 0.750 0.001 0.999
Ga1 0.825 0.463 0.071
Ga2 0.325 0.071 0.463
Ga3 0.675 0.929 0.537
Ga4 0.175 0.537 0.929

***

Each structure's energy above the most stable one, in meV/atom: P 0; Q 78.

***

## P
Computed, not measured: a relaxed structure of Tb2Cd3Ga at the PBE level of DFT.

Its density of states at the Fermi level is 4.35 states/eV/cell. As for the total moment: 0.00 μB/f.u.

a = 3.531 Å, b = 4.838 Å, c = 8.355 Å
α = 90.00°, β = 90.00°, γ = 90.00°
Element x y z (fractional)
Tb1 0.000 0.500 0.014
Tb2 0.000 0.000 0.489
Cd1 0.500 0.000 0.831
Cd2 0.500 0.000 0.168
Cd3 0.500 0.500 0.663
Ga1 0.500 0.500 0.335

***

## Q
Computed, not measured: a relaxed structure of Tb2Cd3Ga at the PBE level of DFT.

Its density of states at the Fermi level is 5.24 states/eV/cell. As for the total moment: 0.00 μB/f.u.

a = 4.866 Å, b = 3.622 Å, c = 9.053 Å
α = 101.54°, β = 105.59°, γ = 90.00°
Element x y z (fractional)
Tb1 0.115 0.115 0.230
Tb2 0.896 0.396 0.792
Cd1 0.713 0.713 0.426
Cd2 0.550 0.550 0.100
Cd3 0.287 0.787 0.573
Ga1 0.440 0.940 0.879

***

Each structure's energy above the most stable one, in meV/atom: P 0; Q 117.

***

## P
Computed, not measured: a relaxed structure of Tb4CdGa2 at the PBE level of DFT.

Its density of states at the Fermi level is 8.52 states/eV/cell. As for the total moment: 0.00 μB/f.u.

a = 5.049 Å, b = 5.049 Å, c = 9.367 Å
α = 74.37°, β = 74.37°, γ = 60.00°
Element x y z (fractional)
Tb1 0.381 0.381 0.856
Tb2 0.207 0.207 0.378
Tb3 0.793 0.793 0.622
Tb4 0.619 0.619 0.144
Cd1 0.000 0.000 0.000
Ga1 0.098 0.098 0.706
Ga2 0.902 0.902 0.294

***

## Q
Computed, not measured: a relaxed structure of Tb4CdGa2 at the PBE level of DFT.

Its density of states at the Fermi level is 6.15 states/eV/cell. As for the total moment: 0.00 μB/f.u.

a = 5.098 Å, b = 5.098 Å, c = 8.701 Å
α = 72.96°, β = 72.96°, γ = 60.00°
Element x y z (fractional)
Tb1 0.869 0.869 0.392
Tb2 0.131 0.131 0.608
Tb3 0.617 0.617 0.150
Tb4 0.383 0.383 0.850
Ga1 0.747 0.747 0.758
Ga2 0.253 0.253 0.242
Cd1 0.000 0.000 0.000

***

Each structure's energy above the most stable one, in meV/atom: P 144; Q 0.